Record 1
A plane-wave DFT calculation with PBE was carried out for Ta2ZnW after structural relaxation.

POSCAR file:
```
Ta2ZnW
1.0
-2.697 -9.318 -1.988
-1.042 -9.844 0.273
-3.777 -9.131 0.643
Ta Zn W
2 1 1
Cartesian
-1.865 -7.022 -0.266
-0.026 -0.098 -0.004
-5.652 -21.277 -0.807
-3.730 -14.043 -0.532
```

Values from the calculation:
SG   No. 160
DFT formation energy   0.283 eV/atom

---

Record 2
A plane-wave DFT calculation with PBE was carried out for MnZnAs2 after structural relaxation.

POSCAR file:
```
MnZnAs2
1.0
3.711 0.000 0.000
0.000 3.714 -0.297
0.000 0.414 5.171
Mn Zn As
1 1 2
Cartesian
0.000 3.347 1.688
1.856 1.823 4.404
1.856 1.487 1.829
0.000 3.663 4.264
```

Values from the calculation:
SG   No. 6
DFT formation energy   0.014 eV/atom

---

Record 3
A plane-wave DFT calculation with PBE was carried out for NdTmCu2 after structural relaxation.

POSCAR file:
```
NdTmCu2
1.0
-2.021 2.299 1.653
-2.172 -2.562 0.906
3.701 -1.031 5.958
Tm Cu Nd
1 2 1
Cartesian
-2.097 -0.132 1.280
2.879 -0.802 4.634
0.822 -0.229 1.324
-0.246 -0.647 4.259
```

Values from the calculation:
SG   No. 123
Energy relative to the lowest polymorph listed for this composition   0.00 kJ per mole of atoms
DFT formation energy   -0.220 eV/atom

---

Record 4
A plane-wave DFT calculation with PBE was carried out for Si5Pb after structural relaxation.

POSCAR file:
```
Si5Pb
1.0
-4.294 5.556 3.343
1.228 -5.573 -5.283
-1.619 -2.806 2.584
Si Pb
5 1
Cartesian
-2.552 2.045 0.622
-1.771 -2.562 -0.569
-0.428 -2.235 -2.695
-3.914 1.756 2.778
-0.473 -5.178 -2.597
1.196 -5.507 -5.232
```

Values from the calculation:
Formation energy from raw total energies   0.46 eV/atom
SG   No. 38
Energy relative to the lowest polymorph listed for this composition   3.02 kJ per mole of atoms